(1)
# NaTaTc2Pt | Alexandria via LeMat-Bulk | GGA-PBE | optimized geometry
# Formation energy in meV per atom: 1797
# E_tot in eV/atom: -6.19
data_NaTaTc2Pt
_space_group_name_H-M_alt 'P 4/m m m'
_space_group_IT_number 123
_space_group_name_Hall '-P 4 2'
_cell_length_a 4.6793
_cell_length_b 4.6793
_cell_length_c 5.1168
_cell_angle_alpha 90.00
_cell_angle_beta 90.00
_cell_angle_gamma 90.00
loop_
_atom_site_label
_atom_site_fract_x
_atom_site_fract_y
_atom_site_fract_z
Na1 0.0000 0.0000 0.0000
Ta1 0.0000 0.0000 0.5000
Tc1 0.0000 0.5000 0.5000
Pt1 0.5000 0.5000 0.0000

(2)
# Na3TbPt8 | Alexandria via LeMat-Bulk | GGA-PBE | optimized geometry
# Formation energy in meV per atom: -618
# E_tot in eV/atom: -5.36
data_Na3TbPt8
_space_group_name_H-M_alt 'R 3 m'
_space_group_IT_number 160
_space_group_name_Hall 'R 3 -2"'
_cell_length_a 5.3908
_cell_length_b 5.3908
_cell_length_c 26.3198
_cell_angle_alpha 90.00
_cell_angle_beta 90.00
_cell_angle_gamma 120.00
loop_
_atom_site_label
_atom_site_fract_x
_atom_site_fract_y
_atom_site_fract_z
Na1 0.0000 0.0000 0.0000
Na2 0.0000 0.0000 0.1199
Na3 0.0000 0.0000 0.6299
Tb1 0.0000 0.0000 0.5006
Pt1 0.0000 0.0000 0.3133
Pt2 0.0000 0.0000 0.8129
Pt3 0.0017 0.5008 0.0642
Pt4 0.1676 0.3351 0.8955